! Ta2CdCu PBE-GGA relaxed; values from VASP
! Fermi-level density of states: 2.880 states/eV/cell
! Energy relative to the elements: 305 meV/atom
! V: 17.505 Å³ per atom
! Space group: R-3m
&SYSTEM
  ibrav = 0, nat = 4, ntyp = 3
/
ATOMIC_SPECIES
Cd 112.41 Cd.upf
Cu 63.55 Cu.upf
Ta 180.95 Ta.upf
CELL_PARAMETERS angstrom
-8.887 4.287 -1.836
-9.566 2.977 0.611
-8.333 5.554 0.665
ATOMIC_POSITIONS crystal
Cd 0.250 0.250 0.250
Cu 0.750 0.750 0.750
Ta 0.007 0.007 0.007
Ta 0.493 0.493 0.493

! Ta2CdCu PBE-GGA relaxed; values from VASP
! Fermi-level density of states: 6.341 states/eV/cell
! Energy relative to the elements: 744 meV/atom
! V: 18.812 Å³ per atom
! Space group: I-42d
&SYSTEM
  ibrav = 0, nat = 8, ntyp = 3
/
ATOMIC_SPECIES
Cd 112.41 Cd.upf
Cu 63.55 Cu.upf
Ta 180.95 Ta.upf
CELL_PARAMETERS angstrom
3.823 0.000 0.000
0.000 3.823 0.000
1.911 1.911 10.299
ATOMIC_POSITIONS crystal
Cd 0.000 0.000 0.000
Cd 0.750 0.250 0.500
Cu 0.500 0.500 0.000
Cu 0.250 0.750 0.500
Ta 0.622 0.125 0.250
Ta 0.128 0.625 0.250
Ta 0.375 0.378 0.750
Ta 0.875 0.872 0.750

! TaCd4Cu PBE-GGA relaxed; values from VASP
! Fermi-level density of states: 5.030 states/eV/cell
! Energy relative to the elements: 677 meV/atom
! V: 20.332 Å³ per atom
! Space group: F-43m
&SYSTEM
  ibrav = 0, nat = 6, ntyp = 3
/
ATOMIC_SPECIES
Ta 180.95 Ta.upf
Cd 112.41 Cd.upf
Cu 63.55 Cu.upf
CELL_PARAMETERS angstrom
0.000 3.936 3.936
3.936 0.000 3.936
3.936 3.936 0.000
ATOMIC_POSITIONS crystal
Ta 0.000 0.000 0.000
Cd 0.876 0.375 0.375
Cd 0.375 0.375 0.876
Cd 0.375 0.876 0.375
Cd 0.375 0.375 0.375
Cu 0.750 0.750 0.750

! TaCd2Cu PBE-GGA relaxed; values from VASP
! Fermi-level density of states: 3.190 states/eV/cell
! Energy relative to the elements: 253 meV/atom
! V: 18.064 Å³ per atom
! Space group: R-3m
&SYSTEM
  ibrav = 0, nat = 4, ntyp = 3
/
ATOMIC_SPECIES
Cd 112.41 Cd.upf
Cu 63.55 Cu.upf
Ta 180.95 Ta.upf
CELL_PARAMETERS angstrom
9.887 0.019 0.011
9.448 2.912 0.011
9.448 1.432 2.536
ATOMIC_POSITIONS crystal
Cd 0.994 0.994 0.994
Cd 0.506 0.506 0.506
Cu 0.250 0.250 0.250
Ta 0.750 0.750 0.750

! TaCd2Cu PBE-GGA relaxed; values from VASP
! Fermi-level density of states: 1.564 states/eV/cell
! Energy relative to the elements: 261 meV/atom
! V: 18.149 Å³ per atom
! Space group: Pm
&SYSTEM
  ibrav = 0, nat = 4, ntyp = 3
/
ATOMIC_SPECIES
Cd 112.41 Cd.upf
Cu 63.55 Cu.upf
Ta 180.95 Ta.upf
CELL_PARAMETERS angstrom
-2.720 2.630 2.035
0.786 -1.123 2.502
4.684 3.488 1.752
ATOMIC_POSITIONS crystal
Cd 0.000 0.064 0.996
Cd 0.500 0.435 0.254
Cu 0.000 0.296 0.535
Ta 0.500 0.705 0.714

! Ta2CdCu PBE-GGA relaxed; values from VASP
! Fermi-level density of states: 2.295 states/eV/cell
! Energy relative to the elements: 123 meV/atom
! V: 17.266 Å³ per atom
! Space group: P4mm
&SYSTEM
  ibrav = 0, nat = 4, ntyp = 3
/
ATOMIC_SPECIES
Cd 112.41 Cd.upf
Cu 63.55 Cu.upf
Ta 180.95 Ta.upf
CELL_PARAMETERS angstrom
-0.315 -2.641 0.985
2.651 -0.614 -0.799
2.899 2.518 7.681
ATOMIC_POSITIONS crystal
Cd 0.000 0.000 0.523
Cu 0.500 0.500 0.755
Ta 0.000 0.000 0.977
Ta 0.500 0.500 0.245